Entry 1:
TmRe PBE relaxed; SG = F-43m, No. 216; spin magnetization = 2.06 μB/f.u.; energy of formation = 2.461 eV/atom; theoretical density = 9.5 Mg/m³
1.0
0.0000 3.1420 3.1420
3.1420 0.0000 3.1420
3.1420 3.1420 0.0000
Tm Re
1 1
direct
0.2500 0.2500 0.2500
0.0000 0.0000 0.0000

Entry 2:
TmRe PBE relaxed; SG = P-6m2, No. 187; spin magnetization = 0.00 μB/f.u.; energy of formation = 0.638 eV/atom; theoretical density = 15.1 Mg/m³
1.0
-0.2887 0.9358 -2.9460
1.9648 -2.2951 0.7142
-3.4217 -3.1347 -0.6605
Re Tm
1 1
direct
0.6667 0.3333 0.7500
0.3333 0.6667 0.2500

Entry 3:
TmRe PBE relaxed; SG = Fm-3m, No. 225; spin magnetization = 0.16 μB/f.u.; energy of formation = 1.335 eV/atom; theoretical density = 13.0 Mg/m³
1.0
3.5593 -1.3947 1.1987
0.3327 -1.8765 3.5240
0.6700 -3.9483 0.1116
Tm Re
1 1
direct
0.5000 0.5000 0.5000
0.0000 0.0000 0.0000

Entry 4:
TmURe PBE relaxed; SG = F-43m, No. 216; spin magnetization = 1.15 μB/f.u.; energy of formation = 1.110 eV/atom; theoretical density = 14.5 Mg/m³; energy relative to the lowest polymorph listed for this composition = 0.0 meV/atom
1.0
0.0000 3.2391 3.2391
3.2391 0.0000 3.2391
3.2391 3.2391 0.0000
U Tm Re
1 1 1
direct
0.0000 0.0000 0.0000
0.7500 0.7500 0.7500
0.2500 0.2500 0.2500

Entry 5:
YTmRe PBE relaxed; SG = F-43m, No. 216; spin magnetization = 0.01 μB/f.u.; energy of formation = 1.121 eV/atom; theoretical density = 9.7 Mg/m³
1.0
2.9486 -3.6600 0.6910
-1.2771 -4.3687 -1.3604
2.1444 -2.0553 -3.7074
Y Tm Re
1 1 1
direct
0.7500 0.7500 0.7500
0.0000 0.0000 0.0000
0.2500 0.2500 0.2500

Entry 6:
TmZnRe PBE relaxed; SG = F-43m, No. 216; spin magnetization = 1.97 μB/f.u.; energy of formation = 1.226 eV/atom; theoretical density = 10.1 Mg/m³; energy relative to the lowest polymorph listed for this composition = 647.7 meV/atom
1.0
0.0000 3.2618 3.2618
3.2618 0.0000 3.2618
3.2618 3.2618 0.0000
Zn Tm Re
1 1 1
direct
0.7500 0.7500 0.7500
0.0000 0.0000 0.0000
0.2500 0.2500 0.2500

Entry 7:
TmZnRe PBE relaxed; SG = F-43m, No. 216; spin magnetization = 0.24 μB/f.u.; energy of formation = 0.578 eV/atom; theoretical density = 11.6 Mg/m³; energy relative to the lowest polymorph listed for this composition = 0.0 meV/atom
1.0
0.0000 3.1085 3.1085
3.1085 0.0000 3.1085
3.1085 3.1085 0.0000
Zn Tm Re
1 1 1
direct
0.0000 0.0000 0.0000
0.7500 0.7500 0.7500
0.2500 0.2500 0.2500

Entry 8:
UReW PBE relaxed; SG = F-43m, No. 216; spin magnetization = 0.00 μB/f.u.; energy of formation = 1.133 eV/atom; theoretical density = 16.7 Mg/m³; energy relative to the lowest polymorph listed for this composition = 389.8 meV/atom
1.0
0.0000 3.1149 3.1149
3.1149 0.0000 3.1149
3.1149 3.1149 0.0000
U Re W
1 1 1
direct
0.2500 0.2500 0.2500
0.0000 0.0000 0.0000
0.5000 0.5000 0.5000

Entry 9:
UReW PBE relaxed; SG = F-43m, No. 216; spin magnetization = 1.86 μB/f.u.; energy of formation = 0.743 eV/atom; theoretical density = 16.1 Mg/m³; energy relative to the lowest polymorph listed for this composition = 0.0 meV/atom
1.0
0.0000 3.1550 3.1550
3.1550 0.0000 3.1550
3.1550 3.1550 0.0000
U W Re
1 1 1
direct
0.7500 0.7500 0.7500
0.2500 0.2500 0.2500
0.0000 0.0000 0.0000

Entry 10:
YURe PBE relaxed; SG = F-43m, No. 216; spin magnetization = 1.86 μB/f.u.; energy of formation = 0.522 eV/atom; theoretical density = 11.3 Mg/m³; energy relative to the lowest polymorph listed for this composition = 0.0 meV/atom
1.0
0.0000 3.3541 3.3541
3.3541 0.0000 3.3541
3.3541 3.3541 0.0000
Y U Re
1 1 1
direct
0.2500 0.2500 0.2500
0.7500 0.7500 0.7500
0.0000 0.0000 0.0000

Entry 11:
UZnRe PBE relaxed; SG = F-43m, No. 216; spin magnetization = 1.12 μB/f.u.; energy of formation = 0.565 eV/atom; theoretical density = 13.0 Mg/m³; energy relative to the lowest polymorph listed for this composition = 0.0 meV/atom
1.0
-1.9471 -2.1695 3.3658
-3.8873 1.4404 1.6249
-3.7178 -2.3435 -0.7159
Zn U Re
1 1 1
direct
0.2500 0.2500 0.2500
0.7500 0.7500 0.7500
0.0000 0.0000 0.0000

Entry 12:
UZnRe PBE relaxed; SG = F-43m, No. 216; spin magnetization = 0.48 μB/f.u.; energy of formation = 1.091 eV/atom; theoretical density = 12.6 Mg/m³; energy relative to the lowest polymorph listed for this composition = 525.7 meV/atom
1.0
0.7998 -2.3005 3.7795
-2.7998 0.3791 3.4977
-2.6544 -3.4459 1.1387
U Re Zn
1 1 1
direct
0.0000 0.0000 0.0000
0.2500 0.2500 0.2500
0.7500 0.7500 0.7500